# CaZn3Si

CaZn3Si after structural relaxation (PBE-GGA, Alexandria via LeMat-Bulk).

CIF file:
```
data_CaZn3Si
_cell_length_a 4.806
_cell_length_b 4.806
_cell_length_c 4.806
_cell_angle_alpha 90.00
_cell_angle_beta 90.00
_cell_angle_gamma 90.00
_space_group_name_H-M_alt 'P m -3 m'
_space_group_IT_number 221
_space_group_name_Hall '-P 4 2 3'
loop_
_atom_site_label
_atom_site_type_symbol
_atom_site_fract_x
_atom_site_fract_y
_atom_site_fract_z
Ca1 Ca 0.000 0.000 0.000
Zn1 Zn 0.000 0.500 0.500
Si1 Si 0.500 0.500 0.500
```

Calculated values
* excess energy over the best structure of this formula in the dataset: 366 meV/atom
* uncorrected formation energy: 0.1415 eV per atom
* E_tot: -10.539 eV per cell